[1]
## NaTlGa2Fe (PBE)

Data for a relaxed structure of NaTlGa2Fe.

Summary:
- E above lowest polymorph (meV per atom) = 0
- ΔH_f (0 K) (meV per atom) = -5
- D(E_F) (states/eV per cell) = 1.6

a = 4.6567 Å, b = 4.6567 Å, c = 5.0555 Å
α = 90.00°, β = 90.00°, γ = 90.00°
Element x y z (fractional)
1 Na 0.0000 0.0000 0.0000
2 Tl 0.5000 0.5000 0.0000
3 Ga 0.0000 0.5000 0.5000
4 Ga 0.5000 0.0000 0.5000
5 Fe 0.5000 0.5000 0.5000


[2]
## NaZnGa2Fe (PBE)

Data for a relaxed structure of NaZnGa2Fe.

Summary:
- ΔH_f (0 K) (meV per atom) = -24
- D(E_F) (states/eV per cell) = 2.4

a = 4.5749 Å, b = 4.5749 Å, c = 4.7135 Å
α = 90.00°, β = 90.00°, γ = 90.00°
Element x y z (fractional)
1 Na 0.0000 0.0000 0.0000
2 Zn 0.5000 0.5000 0.0000
3 Ga 0.0000 0.5000 0.5000
4 Ga 0.5000 0.0000 0.5000
5 Fe 0.5000 0.5000 0.5000


[3]
## Nb2Ga2Fe15 (PBE)

Data for a relaxed structure of Nb2Ga2Fe15.

Summary:
- ΔH_f (0 K) (meV per atom) = 30
- D(E_F) (states/eV per cell) = 19.0

a = 6.2762 Å, b = 6.2762 Å, c = 6.2762 Å
α = 81.75°, β = 81.75°, γ = 81.75°
Element x y z (fractional)
1 Nb 0.1463 0.1463 0.1463
2 Nb 0.8537 0.8537 0.8537
3 Ga 0.3940 0.3940 0.3940
4 Ga 0.6060 0.6060 0.6060
5 Fe 0.0000 0.5000 0.5000
6 Fe 0.1577 0.1577 0.6652
7 Fe 0.1577 0.6652 0.1577
8 Fe 0.1798 0.5000 0.8202
9 Fe 0.1798 0.8202 0.5000
10 Fe 0.3348 0.8423 0.8423
11 Fe 0.5000 0.0000 0.5000
12 Fe 0.5000 0.1798 0.8202
13 Fe 0.5000 0.5000 0.0000
14 Fe 0.5000 0.8202 0.1798
15 Fe 0.6652 0.1577 0.1577
16 Fe 0.8202 0.1798 0.5000
17 Fe 0.8202 0.5000 0.1798
18 Fe 0.8423 0.3348 0.8423
19 Fe 0.8423 0.8423 0.3348


[4]
## NbGa2Fe2 (PBE)

Data for a relaxed structure of NbGa2Fe2.

Summary:
- E above lowest polymorph (meV per atom) = 61
- ΔH_f (0 K) (meV per atom) = -1
- D(E_F) (states/eV per cell) = 10.4

a = 6.8162 Å, b = 6.8162 Å, c = 2.9383 Å
α = 90.00°, β = 90.00°, γ = 90.00°
Element x y z (fractional)
1 Nb 0.0000 0.0000 0.0000
2 Nb 0.5000 0.5000 0.0000
3 Ga 0.1578 0.3422 0.5000
4 Ga 0.3422 0.8422 0.5000
5 Ga 0.6578 0.1578 0.5000
6 Ga 0.8422 0.6578 0.5000
7 Fe 0.1387 0.6387 0.0000
8 Fe 0.3613 0.1387 0.0000
9 Fe 0.6387 0.8613 0.0000
10 Fe 0.8613 0.3613 0.0000


[5]
## NbGa2Fe2 (PBE)

Data for a relaxed structure of NbGa2Fe2.

Summary:
- E above lowest polymorph (meV per atom) = 0
- ΔH_f (0 K) (meV per atom) = -61
- D(E_F) (states/eV per cell) = 9.3

a = 7.1987 Å, b = 7.1987 Å, c = 2.7040 Å
α = 90.00°, β = 90.00°, γ = 90.00°
Element x y z (fractional)
1 Nb 0.0000 0.0000 0.0000
2 Nb 0.5000 0.5000 0.0000
3 Ga 0.1395 0.3605 0.0000
4 Ga 0.3605 0.8605 0.0000
5 Ga 0.6395 0.1395 0.0000
6 Ga 0.8605 0.6395 0.0000
7 Fe 0.1562 0.6562 0.5000
8 Fe 0.3438 0.1562 0.5000
9 Fe 0.6562 0.8438 0.5000
10 Fe 0.8438 0.3438 0.5000


[6]
## Nb3GaFe8 (PBE)

Data for a relaxed structure of Nb3GaFe8.

Summary:
- E above lowest polymorph (meV per atom) = 7
- ΔH_f (0 K) (meV per atom) = -145
- D(E_F) (states/eV per cell) = 13.0

a = 4.7905 Å, b = 4.7905 Å, c = 7.8023 Å
α = 90.00°, β = 90.00°, γ = 120.00°
Element x y z (fractional)
1 Nb 0.0000 0.0000 0.0000
2 Nb 0.0000 0.0000 0.3764
3 Nb 0.3333 0.6667 0.8537
4 Ga 0.3333 0.6667 0.4888
5 Fe 0.0054 0.5027 0.1830
6 Fe 0.3301 0.1651 0.6839
7 Fe 0.4973 0.5027 0.1830
8 Fe 0.4973 0.9946 0.1830
9 Fe 0.6667 0.3333 0.4329
10 Fe 0.6667 0.3333 0.9402
11 Fe 0.8349 0.1651 0.6839
12 Fe 0.8349 0.6699 0.6839


[7]
## NbGaFe3 (PBE)

Data for a relaxed structure of NbGaFe3.

Summary:
- E above lowest polymorph (meV per atom) = 1280
- ΔH_f (0 K) (meV per atom) = 1433
- D(E_F) (states/eV per cell) = 5.8

a = 4.5514 Å, b = 4.5514 Å, c = 4.5514 Å
α = 90.00°, β = 90.00°, γ = 90.00°
Element x y z (fractional)
1 Nb 0.0000 0.0000 0.0000
2 Ga 0.5000 0.5000 0.5000
3 Fe 0.0000 0.0000 0.5000
4 Fe 0.0000 0.5000 0.0000
5 Fe 0.5000 0.0000 0.0000


[8]
## NbGaFe3 (PBE)

Data for a relaxed structure of NbGaFe3.

Summary:
- E above lowest polymorph (meV per atom) = 834
- ΔH_f (0 K) (meV per atom) = 987
- D(E_F) (states/eV per cell) = 7.7

a = 4.3361 Å, b = 4.3361 Å, c = 4.3361 Å
α = 90.00°, β = 90.00°, γ = 90.00°
Element x y z (fractional)
1 Nb 0.0000 0.0000 0.0000
2 Ga 0.5000 0.5000 0.5000
3 Fe 0.0000 0.5000 0.5000
4 Fe 0.5000 0.0000 0.5000
5 Fe 0.5000 0.5000 0.0000


[9]
## Nb3GaFe8 (PBE)

Data for a relaxed structure of Nb3GaFe8.

Summary:
- E above lowest polymorph (meV per atom) = 0
- ΔH_f (0 K) (meV per atom) = -152
- D(E_F) (states/eV per cell) = 11.7

a = 8.3017 Å, b = 8.3017 Å, c = 8.3017 Å
α = 33.69°, β = 33.69°, γ = 33.69°
Element x y z (fractional)
1 Nb 0.0000 0.0000 0.0000
2 Nb 0.1265 0.1265 0.1265
3 Nb 0.6205 0.6205 0.6205
4 Ga 0.4969 0.4969 0.4969
5 Fe 0.0612 0.5616 0.5616
6 Fe 0.0616 0.0616 0.5620
7 Fe 0.0616 0.5620 0.0616
8 Fe 0.3118 0.3118 0.3118
9 Fe 0.5616 0.0612 0.5616
10 Fe 0.5620 0.0616 0.0616
11 Fe 0.5616 0.5616 0.0612
12 Fe 0.8117 0.8117 0.8117


[10]
## Nb2GaFe4 (PBE)

Data for a relaxed structure of Nb2GaFe4.

Summary:
- ΔH_f (0 K) (meV per atom) = 897
- D(E_F) (states/eV per cell) = 7.2

a = 7.0197 Å, b = 7.0197 Å, c = 7.0197 Å
α = 144.58°, β = 144.58°, γ = 50.96°
Element x y z (fractional)
1 Nb 0.1208 0.1208 0.0000
2 Nb 0.8792 0.8792 0.0000
3 Ga 0.5000 0.5000 0.0000
4 Fe 0.0000 0.5000 0.5000
5 Fe 0.3110 0.3110 0.0000
6 Fe 0.5000 0.0000 0.5000
7 Fe 0.6890 0.6890 0.0000


[11]
## NbGa3Fe (PBE)

Data for a relaxed structure of NbGa3Fe.

Summary:
- E above lowest polymorph (meV per atom) = 0
- ΔH_f (0 K) (meV per atom) = 428
- D(E_F) (states/eV per cell) = 3.4

a = 4.4500 Å, b = 4.4500 Å, c = 4.4500 Å
α = 90.00°, β = 90.00°, γ = 90.00°
Element x y z (fractional)
1 Nb 0.0000 0.0000 0.0000
2 Ga 0.0000 0.5000 0.5000
3 Ga 0.5000 0.0000 0.5000
4 Ga 0.5000 0.5000 0.0000
5 Fe 0.5000 0.5000 0.5000


[12]
## NbGa2Fe3 (PBE)

Data for a relaxed structure of NbGa2Fe3.

Summary:
- ΔH_f (0 K) (meV per atom) = -187
- D(E_F) (states/eV per cell) = 8.5

a = 4.1698 Å, b = 4.1698 Å, c = 10.1756 Å
α = 90.00°, β = 90.00°, γ = 120.00°
Element x y z (fractional)
1 Nb 0.3333 0.6667 0.1701
2 Nb 0.6667 0.3333 0.8299
3 Ga 0.0000 0.0000 0.0000
4 Ga 0.0000 0.0000 0.5000
5 Ga 0.3333 0.6667 0.6700
6 Ga 0.6667 0.3333 0.3300
7 Fe 0.0000 0.0000 0.2550
8 Fe 0.0000 0.0000 0.7450
9 Fe 0.3333 0.6667 0.4247
10 Fe 0.3333 0.6667 0.9174
11 Fe 0.6667 0.3333 0.0826
12 Fe 0.6667 0.3333 0.5753


Number 1: magnetic moment 0.16 μB/cell. Number 2: magnetic moment 0.00 μB/cell. Number 3: magnetic moment 29.06 μB/cell. Number 4: magnetic moment 0.28 μB/cell. Number 5: magnetic moment 7.30 μB/cell. Number 6: magnetic moment 9.99 μB/cell. Number 7: magnetic moment 5.15 μB/cell. Number 8: magnetic moment 5.69 μB/cell. Number 9: magnetic moment 12.01 μB/cell. Number 10: magnetic moment 5.63 μB/cell. Number 11: magnetic moment 2.44 μB/cell. Number 12: magnetic moment 1.53 μB/cell.